A geometry-optimized TlHg structure. Source: the Open Quantum Materials Database, functional PBE.

a = 4.7907 Å, b = 4.7907 Å, c = 4.7907 Å
α = 60.00°, β = 60.00°, γ = 60.00°
Closest atoms and distances in Å follow each position.
Element x y z (fractional)
Tl: 0.0000 0.0000 0.0000  4 Hg 2.93
Hg: 0.7500 0.7500 0.7500  4 Tl 2.93

- Crystal system: cubic
- Uncorrected energy: -0.039 hartree per atom